First-principles (PBE) data for a relaxed NiTeP2Pt crystal, as listed in Alexandria.

a = 6.9571 Å, b = 3.7784 Å, c = 7.3586 Å
α = 90.00°, β = 96.48°, γ = 90.00°
Space group Cm (No. 8)
Inequivalent atoms, fractional coordinates:
Ni 0.0000 0.0000 0.0000 [2 per cell]
Te 0.0171 0.0000 0.3411 [2 per cell]
P 0.1640 0.5000 0.9593 [2 per cell]
P 0.3233 0.5000 0.7256 [2 per cell]
Pt 0.3699 0.0000 0.5385 [2 per cell]

energy relative to the elements, uncorrected = -0.247 eV per atom

First-principles (PBE) data for a relaxed PuSF crystal, as listed in Alexandria.

a = 3.4604 Å, b = 3.4604 Å, c = 8.6656 Å
α = 90.00°, β = 90.00°, γ = 90.00°
Space group I4mm (No. 107)
Inequivalent atoms, fractional coordinates:
Pu 0.0000 0.0000 0.0000 [2 per cell]
S 0.0000 0.0000 0.3339 [2 per cell]
F 0.0000 0.0000 0.6338 [2 per cell]

energy relative to the elements, uncorrected = -2.128 eV per atom

First-principles (PBE) data for a relaxed ZrOs crystal, as listed in Alexandria.

a = 6.8930 Å, b = 8.6066 Å, c = 10.5316 Å
α = 90.00°, β = 90.00°, γ = 90.00°
Space group Fddd (No. 70, origin choice 2)
Inequivalent atoms, fractional coordinates:
Zr 0.1250 0.3168 0.1250 [16 per cell]
Os 0.0582 0.3750 0.8750 [16 per cell]

E_form = 0.030 eV/atom

First-principles (PBE) data for a relaxed Sr3CaAg crystal, as listed in Alexandria.

a = 6.2101 Å, b = 6.2101 Å, c = 6.2101 Å
α = 90.00°, β = 90.00°, γ = 90.00°
Space group Pm-3m (No. 221)
Inequivalent atoms, fractional coordinates:
Sr 0.0000 0.0000 0.5000 [3 per cell]
Ca 0.5000 0.5000 0.5000 [1 per cell]
Ag 0.0000 0.0000 0.0000 [1 per cell]

E_form = -0.055 eV/atom

First-principles (PBE) data for a relaxed Ca2AcTmAu4 crystal, as listed in Alexandria.

a = 5.1439 Å, b = 5.1439 Å, c = 26.3567 Å
α = 90.00°, β = 90.00°, γ = 120.00°
Space group R-3m (No. 166, hexagonal axes)
Inequivalent atoms, fractional coordinates:
Ca 0.0000 0.0000 0.2447 [6 per cell]
Ac 0.0000 0.0000 0.0000 [3 per cell]
Tm 0.0000 0.0000 0.5000 [3 per cell]
Au 0.0000 0.0000 0.1284 [6 per cell]
Au 0.0000 0.0000 0.3877 [6 per cell]

E_form = -0.801 eV/atom

First-principles (PBE) data for a relaxed Th8SbAs4P3 crystal, as listed in Alexandria.

a = 8.4994 Å, b = 8.4994 Å, c = 20.7836 Å
α = 90.00°, β = 90.00°, γ = 120.00°
Space group R-3m (No. 166, hexagonal axes)
Inequivalent atoms, fractional coordinates:
Th 0.0000 0.0000 0.2457 [6 per cell]
Th 0.0162 0.5081 0.7507 [18 per cell]
Sb 0.0000 0.0000 0.5000 [3 per cell]
As 0.0000 0.0000 0.0000 [3 per cell]
As 0.0000 0.5000 0.0000 [9 per cell]
P 0.0000 0.5000 0.5000 [9 per cell]

energy relative to the elements, uncorrected = -1.367 eV per atom

First-principles (PBE) data for a relaxed Pm5PbSe4 crystal, as listed in Alexandria.

a = 9.5614 Å, b = 9.5614 Å, c = 6.0440 Å
α = 90.00°, β = 90.00°, γ = 90.00°
Space group I4/m (No. 87)
Inequivalent atoms, fractional coordinates:
Pm 0.0000 0.0000 0.0000 [2 per cell]
Pm 0.1007 0.6908 0.5000 [8 per cell]
Pb 0.0000 0.0000 0.5000 [2 per cell]
Se 0.1043 0.7012 0.0000 [8 per cell]

energy relative to the elements, uncorrected = -1.582 eV per atom

First-principles (PBE) data for a relaxed CoReBr2 crystal, as listed in Alexandria.

a = 3.4857 Å, b = 4.0516 Å, c = 5.4002 Å
α = 90.00°, β = 92.49°, γ = 90.00°
Space group P2/m (No. 10)
Inequivalent atoms, fractional coordinates:
Co 0.0000 0.0000 0.0000 [1 per cell]
Re 0.0000 0.0000 0.5000 [1 per cell]
Br 0.2579 0.5000 0.7461 [2 per cell]

energy relative to the elements, uncorrected = 1.097 eV per atom